Entry from Alexandria: a geometry-optimized ScCu4Pt structure (GGA-PBEsol).

Computed properties:
ρ: 10.452 Mg/m³
Space-group type: F-43m, No. 216
Energy: -33.292 eV per formula unit
Crystal system: cubic

a = 4.807 Å, b = 4.807 Å, c = 4.807 Å
α = 60.00°, β = 60.00°, γ = 60.00°
Element x y z (fractional)
Cu  0.625  0.625  0.126
Cu  0.126  0.625  0.625
Cu  0.625  0.126  0.625
Cu  0.625  0.625  0.625
Pt  0.250  0.250  0.250
Sc  0.000  0.000  0.000

Entry from Alexandria: a geometry-optimized CsYMnSe3 structure (GGA-PBEsol).

Computed properties:
ρ: 4.797 Mg/m³
Space-group type: Cmcm, No. 63
ΔE_f (raw): -1.29 eV per atom
Crystal system: orthorhombic

a = 4.150 Å, b = 8.145 Å, c = 10.880 Å
α = 90.00°, β = 90.00°, γ = 104.76°
Element x y z (fractional)
Cs  0.258  0.517  0.750
Cs  0.742  0.483  0.250
Y  0.000  0.000  0.000
Y  0.000  0.000  0.500
Mn  0.538  0.076  0.750
Mn  0.462  0.924  0.250
Se  0.619  0.237  0.943
Se  0.056  0.111  0.250
Se  0.619  0.237  0.557
Se  0.944  0.889  0.750
Se  0.381  0.763  0.057
Se  0.381  0.763  0.443

Entry from Alexandria: a geometry-optimized LaCd2Br structure (GGA-PBEsol).

Computed properties:
ΔE to the lowest computed polymorph: 0.0000 eV per atom
ρ: 6.818 Mg/m³
Space-group type: C2/m, No. 12
ΔE_f (raw): -0.50 eV per atom
Crystal system: monoclinic

a = 3.534 Å, b = 5.865 Å, c = 5.980 Å
α = 60.63°, β = 89.93°, γ = 89.86°
Element x y z (fractional)
Cd  0.000  0.000  0.500
Cd  0.000  0.500  0.500
Br  0.500  0.000  0.000
La  0.500  0.500  0.000

Entry from Alexandria: a geometry-optimized Bi2AuNO structure (GGA-PBEsol).

Computed properties:
ρ: 12.437 Mg/m³
Space-group type: P4/mmm, No. 123
ΔE_f (raw): 0.49 eV per atom
Crystal system: tetragonal

a = 3.649 Å, b = 4.858 Å, c = 4.858 Å
α = 90.00°, β = 90.00°, γ = 90.00°
Element x y z (fractional)
Au  0.500  0.500  0.500
Bi  0.000  0.000  0.500
Bi  0.000  0.500  0.000
O  0.500  0.000  0.000
N  0.000  0.000  0.000